(1)
The following is a PBE calculation of a geometry-optimized Ba2CdHg10 structure, from Alexandria via LeMat-Bulk.

a b c (Å): 11.2393 13.6400 6.0303
angles (deg): 90.00 90.00 90.00
Atoms (fractional coordinates):
Ba  0.1356  0.1610  0.0000
Ba  0.3644  0.6610  0.0000
Ba  0.6356  0.3390  0.0000
Ba  0.8644  0.8390  0.0000
Cd  0.0000  0.5000  0.5000
Cd  0.5000  0.0000  0.5000
Hg  0.0285  0.8861  0.5000
Hg  0.0798  0.6824  0.2459
Hg  0.0798  0.6824  0.7541
Hg  0.1941  0.3120  0.5000
Hg  0.2342  0.0300  0.5000
Hg  0.2658  0.5300  0.5000
Hg  0.3059  0.8120  0.5000
Hg  0.4202  0.1824  0.2459
Hg  0.4202  0.1824  0.7541
Hg  0.4715  0.3861  0.5000
Hg  0.5285  0.6139  0.5000
Hg  0.5798  0.8176  0.2459
Hg  0.5798  0.8176  0.7541
Hg  0.6941  0.1880  0.5000
Hg  0.7342  0.4700  0.5000
Hg  0.7658  0.9700  0.5000
Hg  0.8059  0.6880  0.5000
Hg  0.9202  0.3176  0.2459
Hg  0.9202  0.3176  0.7541
Hg  0.9715  0.1139  0.5000

Output
SG = Pbam, No. 55
energy relative to the elements = -0.1455 eV per atom

(2)
The following is a PBE calculation of a geometry-optimized Ba3Cd5Hg6 structure, from Alexandria via LeMat-Bulk.

a b c (Å): 5.2636 15.2657 10.1455
angles (deg): 90.00 90.00 90.00
Atoms (fractional coordinates):
Ba  0.2500  0.0480  0.2480
Ba  0.2500  0.4520  0.2480
Ba  0.2500  0.7500  0.2611
Ba  0.7500  0.2500  0.7389
Ba  0.7500  0.5480  0.7520
Ba  0.7500  0.9520  0.7520
Cd  0.2500  0.0898  0.6046
Cd  0.2500  0.4102  0.6046
Cd  0.2500  0.6140  0.9643
Cd  0.2500  0.7500  0.7471
Cd  0.2500  0.8860  0.9643
Cd  0.7500  0.1140  0.0357
Cd  0.7500  0.2500  0.2529
Cd  0.7500  0.3860  0.0357
Cd  0.7500  0.5898  0.3954
Cd  0.7500  0.9102  0.3954
Hg  0.2500  0.0866  0.8918
Hg  0.2500  0.2500  0.0675
Hg  0.2500  0.2500  0.4336
Hg  0.2500  0.4134  0.8918
Hg  0.2500  0.6065  0.5395
Hg  0.2500  0.8935  0.5395
Hg  0.7500  0.1065  0.4605
Hg  0.7500  0.3935  0.4605
Hg  0.7500  0.5866  0.1082
Hg  0.7500  0.7500  0.5664
Hg  0.7500  0.7500  0.9325
Hg  0.7500  0.9134  0.1082

Output
SG = Pmmn, No. 59
energy relative to the elements = -0.3381 eV per atom

(3)
The following is a PBE calculation of a geometry-optimized BaCdHg structure, from Alexandria via LeMat-Bulk.

a b c (Å): 6.2845 6.2845 6.2845
angles (deg): 140.74 140.74 56.74
Atoms (fractional coordinates):
Ba  0.0000  0.0000  0.0000
Cd  0.3172  0.3172  0.0000
Hg  0.6789  0.6789  0.0000

Output
SG = I4mm, No. 107
energy relative to the elements = -0.3559 eV per atom

(4)
The following is a PBE calculation of a geometry-optimized BaCd6Hg4 structure, from Alexandria via LeMat-Bulk.

a b c (Å): 7.6013 7.6013 7.6013
angles (deg): 119.49 119.49 90.88
Atoms (fractional coordinates):
Ba  0.0000  0.0000  0.0000
Cd  0.0000  0.5000  0.5000
Cd  0.2498  0.2498  0.6897
Cd  0.4399  0.7502  0.0000
Cd  0.5000  0.0000  0.5000
Cd  0.5601  0.5601  0.3103
Cd  0.7502  0.4399  0.0000
Hg  0.1023  0.5413  0.0000
Hg  0.4587  0.4587  0.5610
Hg  0.5413  0.1023  0.0000
Hg  0.8977  0.8977  0.4390

Output
offset from the most stable computed form = 0.082 eV per atom
SG = I-42m, No. 121
energy relative to the elements = -0.0801 eV per atom

(5)
The following is a PBE calculation of a geometry-optimized Ba8Cd2Hg structure, from Alexandria via LeMat-Bulk.

a b c (Å): 11.1536 11.1536 8.4039
angles (deg): 106.78 106.78 31.60
Atoms (fractional coordinates):
Ba  0.0315  0.0315  0.2970
Ba  0.2053  0.2053  0.8136
Ba  0.3347  0.3347  0.5326
Ba  0.4062  0.4062  0.0595
Ba  0.5938  0.5938  0.9405
Ba  0.6653  0.6653  0.4674
Ba  0.7947  0.7947  0.1864
Ba  0.9685  0.9685  0.7030
Cd  0.1840  0.1840  0.2110
Cd  0.8160  0.8160  0.7890
Hg  0.5000  0.5000  0.5000

Output
offset from the most stable computed form = 0.000 eV per atom
SG = C2/m, No. 12
energy relative to the elements = -0.1932 eV per atom

(6)
The following is a PBE calculation of a geometry-optimized Ba2CdHg5 structure, from Alexandria via LeMat-Bulk.

a b c (Å): 9.7950 9.7950 10.7523
angles (deg): 90.00 90.00 150.62
Atoms (fractional coordinates):
Ba  0.0000  0.0000  0.0000
Ba  0.0000  0.0000  0.5000
Ba  0.2071  0.7929  0.7500
Ba  0.7929  0.2071  0.2500
Cd  0.4440  0.5560  0.2500
Cd  0.5560  0.4440  0.7500
Hg  0.1868  0.8132  0.1066
Hg  0.1868  0.8132  0.3934
Hg  0.3547  0.6453  0.0299
Hg  0.3547  0.6453  0.4701
Hg  0.4054  0.5946  0.7500
Hg  0.5946  0.4054  0.2500
Hg  0.6453  0.3547  0.5299
Hg  0.6453  0.3547  0.9701
Hg  0.8132  0.1868  0.6066
Hg  0.8132  0.1868  0.8934

Output
SG = Cmcm, No. 63
energy relative to the elements = -0.3777 eV per atom

What did the first record say?
The following is a PBE calculation of a geometry-optimized Ba2CdHg10 structure, from Alexandria via LeMat-Bulk.

a b c (Å): 11.2393 13.6400 6.0303
angles (deg): 90.00 90.00 90.00
Atoms (fractional coordinates):
Ba  0.1356  0.1610  0.0000
Ba  0.3644  0.6610  0.0000
Ba  0.6356  0.3390  0.0000
Ba  0.8644  0.8390  0.0000
Cd  0.0000  0.5000  0.5000
Cd  0.5000  0.0000  0.5000
Hg  0.0285  0.8861  0.5000
Hg  0.0798  0.6824  0.2459
Hg  0.0798  0.6824  0.7541
Hg  0.1941  0.3120  0.5000
Hg  0.2342  0.0300  0.5000
Hg  0.2658  0.5300  0.5000
Hg  0.3059  0.8120  0.5000
Hg  0.4202  0.1824  0.2459
Hg  0.4202  0.1824  0.7541
Hg  0.4715  0.3861  0.5000
Hg  0.5285  0.6139  0.5000
Hg  0.5798  0.8176  0.2459
Hg  0.5798  0.8176  0.7541
Hg  0.6941  0.1880  0.5000
Hg  0.7342  0.4700  0.5000
Hg  0.7658  0.9700  0.5000
Hg  0.8059  0.6880  0.5000
Hg  0.9202  0.3176  0.2459
Hg  0.9202  0.3176  0.7541
Hg  0.9715  0.1139  0.5000

Output
SG = Pbam, No. 55
energy relative to the elements = -0.1455 eV per atom